The following is a DFT calculation (PBE-GGA) of crystalline P2IrBr2 at its relaxed geometry.

Unit cell a=7.719 b=7.719 c=3.147 alpha=90.00 beta=90.00 gamma=90.00
Space group P4/mbm (No. 127)
Inequivalent atoms, fractional coordinates:
P: 0.184 0.316 0.000 (multiplicity 4)
Ir: 0.000 0.000 0.500 (multiplicity 2)
Br: 0.138 0.638 0.500 (multiplicity 4)

Computed properties:
formation energy from raw total energies = 1.43 eV per atom